No. 1
DFT (GGA-PBE) results for a relaxed structure of LiOs2Au.

abc: 3.868 2.747 6.257
angles: 64.04 90.00 90.00
Fractional coordinates of all 4 atoms:
Os 0.500 0.294 0.206
Os 0.000 0.974 0.026
Au 0.000 0.468 0.533
Li 0.500 0.765 0.735

The calculation puts the final energy at -27.11 eV per formula unit. The value obtained for the density of states at the Fermi level is 0.62 states/eV/atom. The crystal system is monoclinic.

No. 2
DFT (GGA-PBE) results for a relaxed structure of Cs2BaCd2Te4.

abc: 4.828 9.276 9.556
angles: 109.23 104.63 90.00
Fractional coordinates of all 9 atoms:
Cs 0.127 0.552 0.254
Cs 0.873 0.448 0.746
Cd 0.329 0.026 0.659
Cd 0.671 0.974 0.341
Te 0.792 0.829 0.584
Te 0.208 0.171 0.416
Te 0.477 0.250 0.953
Te 0.523 0.750 0.047
Ba 0.000 0.000 0.000

The calculation puts the final energy at -27.16 eV per formula unit. The crystal system is monoclinic. For the energy relative to the elements, uncorrected, the calculation gives -1.01 eV/atom.

No. 3
DFT (GGA-PBE) results for a relaxed structure of Ba2LiZn3Ge4.

abc: 4.557 4.557 10.776
angles: 90.00 90.00 90.00
Fractional coordinates of all 10 atoms:
Li 0.500 0.500 0.500
Ba 0.000 0.500 0.746
Ba 0.500 0.000 0.254
Ge 0.500 0.500 0.000
Ge 0.500 0.000 0.628
Ge 0.000 0.500 0.372
Ge 0.000 0.000 0.000
Zn 0.000 0.500 0.132
Zn 0.000 0.000 0.500
Zn 0.500 0.000 0.868

The calculation puts the final energy at -31.97 eV per formula unit. The value obtained for the density of states at the Fermi level is 0.38 states/eV/atom. The crystal system is tetragonal.

No. 4
DFT (GGA-PBE) results for a relaxed structure of SrMg6NbO8.

abc: 4.531 4.531 9.021
angles: 90.00 90.00 90.00
Fractional coordinates of all 16 atoms:
Mg 0.000 0.500 0.746
Mg 0.500 0.000 0.254
Mg 0.500 0.000 0.746
Mg 0.500 0.500 0.000
Mg 0.000 0.500 0.254
Mg 0.500 0.500 0.500
O 0.000 0.500 0.000
O 0.500 0.500 0.747
O 0.500 0.000 0.000
O 0.000 0.000 0.739
O 0.000 0.500 0.500
O 0.000 0.000 0.261
O 0.500 0.500 0.253
O 0.500 0.000 0.500
Nb 0.000 0.000 0.500
Sr 0.000 0.000 0.000

The calculation puts the final energy at -96.86 eV per formula unit. The value obtained for the density of states at the Fermi level is 0.25 states/eV/atom. The crystal system is tetragonal. For the energy relative to the elements, uncorrected, the calculation gives -2.24 eV/atom.

Look up the final energy of the second one.
-27.16 eV per formula unit

Look up the final energy of the fourth one.
-96.86 eV per formula unit